(1)
ReMoW PBE relaxed; crystal system = monoclinic; calculated volume = 94.02 Å³/cell; energy of formation from the pure elements = 6 kJ per mole of atoms; ΔE to the lowest computed polymorph = 4 meV/atom; symmetry = C2/m
1.0
4.988 -1.576 0.000
4.988 1.576 0.000
-2.016 0.000 5.980
Re Mo W
2 2 2
direct
0.167 0.167 0.086 Re
0.833 0.833 0.914 Re
0.498 0.498 0.250 Mo
0.502 0.502 0.750 Mo
0.167 0.167 0.584 W
0.833 0.833 0.416 W



(2)
NpCuTcRh PBE relaxed; crystal system = cubic; calculated volume = 64.51 Å³/cell; energy of formation from the pure elements = 1 kJ per mole of atoms; symmetry = F-43m
1.0
0.000 3.183 3.183
3.183 0.000 3.183
3.183 3.183 0.000
Np Cu Tc Rh
1 1 1 1
direct
0.000 0.000 0.000 Np
0.500 0.500 0.500 Cu
0.750 0.750 0.750 Tc
0.250 0.250 0.250 Rh



(3)
Be2AsPt PBE relaxed; crystal system = tetragonal; calculated volume = 50.64 Å³/cell; energy of formation from the pure elements = -6 kJ per mole of atoms; symmetry = I4/mmm
1.0
-1.899 1.899 3.509
1.899 -1.899 3.509
1.899 1.899 -3.509
Be As Pt
2 1 1
direct
0.250 0.750 0.500 Be
0.750 0.250 0.500 Be
0.000 0.000 0.000 As
0.500 0.500 0.000 Pt



(4)
Na12PaO7 PBE relaxed; crystal system = trigonal; calculated volume = 380.69 Å³/cell; formation energy from raw total energies = -1.514 eV per atom; symmetry = R-3
1.0
6.131 3.540 2.924
-6.131 3.540 2.924
0.000 -7.079 2.924
Na Pa O
12 1 7
direct
0.064 0.125 0.328 Na
0.125 0.328 0.064 Na
0.166 0.565 0.702 Na
0.298 0.834 0.435 Na
0.328 0.064 0.125 Na
0.435 0.298 0.834 Na
0.565 0.702 0.166 Na
0.672 0.936 0.875 Na
0.702 0.166 0.565 Na
0.834 0.435 0.298 Na
0.875 0.672 0.936 Na
0.936 0.875 0.672 Na
0.500 0.500 0.500 Pa
0.000 0.000 0.000 O
0.189 0.481 0.398 O
0.398 0.189 0.481 O
0.481 0.398 0.189 O
0.519 0.602 0.811 O
0.602 0.811 0.519 O
0.811 0.519 0.602 O



(5)
DyLu2Pu PBE relaxed; crystal system = tetragonal; calculated volume = 117.37 Å³/cell; energy of formation from the pure elements = 13 kJ per mole of atoms; ΔE to the lowest computed polymorph = 0 meV/atom; symmetry = P4/mmm
1.0
4.892 0.000 0.000
0.000 4.892 0.000
0.000 0.000 4.905
Dy Lu Pu
1 2 1
direct
0.000 0.000 0.000 Dy
0.000 0.500 0.500 Lu
0.500 0.000 0.500 Lu
0.500 0.500 0.000 Pu



(6)
SeS PBE relaxed; crystal system = orthorhombic; calculated volume = 53.82 Å³/cell; formation energy from raw total energies = 0.250 eV per atom; ΔE to the lowest computed polymorph = 206 meV/atom; symmetry = Amm2
1.0
2.651 0.000 0.000
0.000 2.122 4.783
0.000 -2.122 4.783
Se S
1 1
direct
0.000 0.000 0.000 Se
0.000 0.771 0.771 S



(7)
ZrRhSe2 PBE relaxed; crystal system = cubic; calculated volume = 70.79 Å³/cell; formation energy from raw total energies = -0.608 eV per atom; ΔE to the lowest computed polymorph = 256 meV/atom; symmetry = Fm-3m
1.0
0.000 3.283 3.283
3.283 0.000 3.283
3.283 3.283 0.000
Zr Rh Se
1 1 2
direct
0.000 0.000 0.000 Zr
0.500 0.500 0.500 Rh
0.250 0.250 0.250 Se
0.750 0.750 0.750 Se



(8)
TaInTe2 PBE relaxed; crystal system = monoclinic; calculated volume = 100.76 Å³/cell; formation energy from raw total energies = 0.212 eV per atom; symmetry = C2/m
1.0
4.718 -1.787 0.000
4.718 1.787 0.000
-1.206 0.000 5.975
Ta In Te
1 1 2
direct
0.000 0.000 0.000 Ta
0.500 0.500 0.500 In
0.278 0.278 0.789 Te
0.722 0.722 0.211 Te



no.,calculated total energy (eV/atom)
1,-12.020
2,-8.679
3,-4.599
4,-4.516
5,-6.862
6,-3.556
7,-6.325
8,-5.006